# Sm2AgIr2 (GGA-PBE, optimized geometry)
data_Sm2AgIr2
_chemical_formula_sum 'Sm4 Ag2 Ir4'
_cell_length_a 4.5028
_cell_length_b 5.9084
_cell_length_c 8.2518
_cell_angle_alpha 90.00
_cell_angle_beta 90.00
_cell_angle_gamma 90.00
_symmetry_space_group_name_H-M 'I m m m'
_symmetry_Int_Tables_number 71
_symmetry_space_group_name_Hall '-I 2 2'
loop_
_atom_site_label
_atom_site_fract_x
_atom_site_fract_y
_atom_site_fract_z
Sm1 0.0000 0.0000 0.2087
Ag1 0.0000 0.5000 0.0000
Ir1 0.0000 0.2853 0.5000
# E_form = -54.8 kJ/mol of atoms
# VASP energy = -6.5703 eV/atom
# Crystal system = orthorhombic
# Fermi-level density of states = 6.05 states/eV/cell